(1)
DFT (PBE-GGA) results for a relaxed Tb6GeSe2S3 crystal.

```
12
Lattice="3.494 -6.047 0.000 3.494 6.047 0.000 -2.327 0.000 6.580" Properties=species:S:1:pos:R:3 pbc="T T T"
Tb -0.036 1.958 5.017
Tb 1.097 0.000 1.572
Tb -0.036 -1.958 5.017
Tb 4.698 1.958 1.563
Tb 3.564 0.000 5.008
Tb 4.698 -1.958 1.563
Ge -1.163 0.000 3.290
Se 2.331 2.016 3.290
Se 2.331 -2.016 3.290
S 3.494 4.004 0.000
S 3.494 0.000 0.000
S 3.494 -4.004 0.000
```

- Electronic total energy: -6.101 eV per atom


(2)
DFT (PBE-GGA) results for a relaxed Tb8Ge4Se3S crystal.

```
16
Lattice="4.128 2.383 6.775 -4.128 2.383 6.775 0.000 -4.767 6.775" Properties=species:S:1:pos:R:3 pbc="T T T"
Tb -2.089 -1.206 11.798
Tb 0.000 0.000 5.002
Tb 0.000 -2.412 8.527
Tb -2.089 1.206 8.527
Tb 2.089 -1.206 11.798
Tb 0.000 2.412 11.798
Tb 0.000 0.000 15.323
Tb 2.089 1.206 8.527
Ge -4.128 0.000 10.163
Ge -2.064 1.192 3.388
Ge 2.064 1.192 3.388
Ge 0.000 0.000 10.163
Se -2.064 -1.192 6.775
Se -2.064 1.192 13.550
Se 0.000 2.383 6.775
S 0.000 0.000 0.000
```

- Electronic total energy: -5.790 eV per atom


In Å³/cell, the volume values for the records above are, in order, 278.0 399.9.
In eV/atom, the ΔE_f (raw) values for the records above are, in order, -1.789 -1.409.
In μB/atom, the total magnetization values for the records above are, in order, 0.0000 0.0000.